Record 1
VASP calculation (PBE) on crystalline Al3In at its relaxed geometry.

a b c (Å): 4.3450 5.7880 6.4983
angles (deg): 90.00 90.00 90.00
Sites, in units of the cell vectors:
In (0.0000, 0.0000, 0.5846)
In (0.5000, 0.5000, 0.4154)
Al (0.0000, 0.2617, 0.1391)
Al (0.5000, 0.0000, 0.2426)
Al (0.0000, 0.7383, 0.1391)
Al (0.0000, 0.5000, 0.7574)
Al (0.5000, 0.7617, 0.8609)
Al (0.5000, 0.2383, 0.8609)

Results
As for the density of states at the Fermi level: 1.49 states/eV/f.u. The formation energy is 0.1376 eV/atom. For the total magnetic moment, the calculation gives 0.0 μB/cell.


Record 2
VASP calculation (PBE) on crystalline Al3In at its relaxed geometry.

a b c (Å): 4.8248 4.8248 4.8248
angles (deg): 60.00 60.00 60.00
Sites, in units of the cell vectors:
In (0.7500, 0.7500, 0.7500)
Al (0.5000, 0.5000, 0.5000)
Al (0.0000, 0.0000, 0.0000)
Al (0.2500, 0.2500, 0.2500)

Results
As for the density of states at the Fermi level: 3.14 states/eV/f.u. The formation energy is 0.2180 eV/atom. For the total magnetic moment, the calculation gives 0.0 μB/cell.


Record 3
VASP calculation (PBE) on crystalline Al7In6 at its relaxed geometry.

a b c (Å): 10.9571 10.9571 10.9571
angles (deg): 29.47 29.47 29.47
Sites, in units of the cell vectors:
Al (0.0903, 0.5905, 0.5905)
In (0.1537, 0.1537, 0.1537)
In (0.8463, 0.8463, 0.8463)
In (0.3356, 0.3356, 0.3356)
In (0.9509, 0.9509, 0.9509)
Al (0.4095, 0.4095, 0.9097)
In (0.0491, 0.0491, 0.0491)
Al (0.9097, 0.4095, 0.4095)
Al (0.5905, 0.5905, 0.0903)
Al (0.4095, 0.9097, 0.4095)
In (0.6644, 0.6644, 0.6644)
Al (0.5000, 0.5000, 0.5000)
Al (0.5905, 0.0903, 0.5905)

Results
As for the density of states at the Fermi level: 4.70 states/eV/f.u. The formation energy is 0.1013 eV/atom. For the total magnetic moment, the calculation gives 0.0 μB/cell.


Record 4
VASP calculation (PBE) on crystalline AlIn2 at its relaxed geometry.

a b c (Å): 6.9208 7.6188 9.0050
angles (deg): 90.00 142.50 90.00
Sites, in units of the cell vectors:
Al (0.7500, 0.4958, 0.2500)
Al (0.7500, 0.9958, 0.7500)
In (0.1499, 0.6614, 0.0023)
Al (0.2500, 0.0042, 0.2500)
Al (0.2500, 0.5042, 0.7500)
In (0.8501, 0.3386, 0.9977)
In (0.6499, 0.3386, 0.5023)
In (0.8501, 0.8386, 0.4977)
In (0.3501, 0.6614, 0.4977)
In (0.6499, 0.8386, 0.0023)
In (0.3501, 0.1614, 0.9977)
In (0.1499, 0.1614, 0.5023)

Results
As for the density of states at the Fermi level: 1.24 states/eV/f.u. The formation energy is 0.0903 eV/atom. For the total magnetic moment, the calculation gives 0.0 μB/cell.


Record 5
VASP calculation (PBE) on crystalline AlIn5 at its relaxed geometry.

a b c (Å): 3.3956 3.3956 13.2891
angles (deg): 90.00 90.00 90.00
Sites, in units of the cell vectors:
In (0.5000, 0.5000, 0.3225)
Al (0.5000, 0.5000, 0.0000)
In (0.0000, 0.0000, 0.1440)
In (0.0000, 0.0000, 0.5000)
In (0.0000, 0.0000, 0.8560)
In (0.5000, 0.5000, 0.6775)

Results
As for the density of states at the Fermi level: 2.40 states/eV/f.u. The formation energy is 0.0677 eV/atom. For the total magnetic moment, the calculation gives 0.0 μB/cell.


Record 6
VASP calculation (PBE) on crystalline AlIn4 at its relaxed geometry.

a b c (Å): 5.7644 5.7644 5.7644
angles (deg): 98.57 98.57 134.58
Sites, in units of the cell vectors:
In (0.7923, 0.4014, 0.1937)
In (0.4014, 0.2077, 0.6091)
In (0.5986, 0.7923, 0.3909)
Al (0.0000, 0.0000, 0.0000)
In (0.2077, 0.5986, 0.8063)

Results
As for the density of states at the Fermi level: 2.16 states/eV/f.u. The formation energy is 0.1093 eV/atom. For the total magnetic moment, the calculation gives 0.0 μB/cell.


Record 7
VASP calculation (PBE) on crystalline Al3In at its relaxed geometry.

a b c (Å): 6.4261 5.0459 9.5768
angles (deg): 90.00 90.00 90.00
Sites, in units of the cell vectors:
Al (0.3596, 0.4027, 0.7500)
Al (0.1384, 0.2196, 0.9968)
Al (0.8616, 0.7804, 0.0032)
Al (0.3616, 0.7196, 0.9968)
In (0.3920, 0.0835, 0.2500)
Al (0.6384, 0.2804, 0.4968)
In (0.1080, 0.5835, 0.2500)
Al (0.8596, 0.0973, 0.2500)
In (0.6080, 0.9165, 0.7500)
Al (0.6384, 0.2804, 0.0032)
Al (0.6404, 0.5973, 0.2500)
Al (0.1384, 0.2196, 0.5032)
Al (0.8616, 0.7804, 0.4968)
Al (0.1404, 0.9027, 0.7500)
In (0.8920, 0.4165, 0.7500)
Al (0.3616, 0.7196, 0.5032)

Results
As for the density of states at the Fermi level: 1.33 states/eV/f.u. The formation energy is 0.1522 eV/atom. For the total magnetic moment, the calculation gives 0.0 μB/cell.


Record 8
VASP calculation (PBE) on crystalline AlIn2 at its relaxed geometry.

a b c (Å): 6.0791 6.0791 6.0791
angles (deg): 60.00 60.00 60.00
Sites, in units of the cell vectors:
In (0.1250, 0.1250, 0.6250)
In (0.1250, 0.1250, 0.1250)
Al (0.5000, 0.5000, 0.5000)
Al (0.7500, 0.7500, 0.7500)
In (0.6250, 0.1250, 0.1250)
In (0.1250, 0.6250, 0.1250)

Results
As for the density of states at the Fermi level: 1.65 states/eV/f.u. The formation energy is 0.3747 eV/atom. For the total magnetic moment, the calculation gives 0.0 μB/cell.


Record 9
VASP calculation (PBE) on crystalline Al3In5 at its relaxed geometry.

a b c (Å): 8.6178 8.6178 5.9924
angles (deg): 90.00 90.00 120.00
Sites, in units of the cell vectors:
In (0.3333, 0.6667, 0.0000)
In (0.0000, 0.2321, 0.2500)
Al (0.5889, 0.0000, 0.2500)
In (0.7679, 0.7679, 0.2500)
Al (0.0000, 0.5889, 0.2500)
Al (0.5889, 0.5889, 0.7500)
In (0.3333, 0.6667, 0.5000)
In (0.2321, 0.2321, 0.7500)
In (0.0000, 0.7679, 0.7500)
Al (0.0000, 0.4111, 0.7500)
Al (0.4111, 0.0000, 0.7500)
In (0.6667, 0.3333, 0.5000)
Al (0.4111, 0.4111, 0.2500)
In (0.2321, 0.0000, 0.2500)
In (0.7679, 0.0000, 0.7500)
In (0.6667, 0.3333, 0.0000)

Results
As for the density of states at the Fermi level: 3.77 states/eV/f.u. The formation energy is 0.1776 eV/atom. For the total magnetic moment, the calculation gives 0.0 μB/cell.


Record 10
VASP calculation (PBE) on crystalline Al3In at its relaxed geometry.

a b c (Å): 5.5762 5.5762 5.5762
angles (deg): 116.76 116.76 116.76
Sites, in units of the cell vectors:
Al (0.5000, 0.0000, 0.5000)
Al (0.0000, 0.5000, 0.5000)
In (0.5000, 0.5000, 0.0000)
Al (0.0000, 0.0000, 0.0000)

Results
As for the density of states at the Fermi level: 1.48 states/eV/f.u. The formation energy is 0.2069 eV/atom. For the total magnetic moment, the calculation gives 0.0 μB/cell.


Record 11
VASP calculation (PBE) on crystalline Al5In at its relaxed geometry.

a b c (Å): 5.6011 5.6011 4.4224
angles (deg): 90.00 90.00 120.00
Sites, in units of the cell vectors:
Al (0.5000, 0.5000, 0.5000)
Al (0.0000, 0.5000, 0.5000)
Al (0.3333, 0.6667, 0.0000)
Al (0.6667, 0.3333, 0.0000)
Al (0.5000, 0.0000, 0.5000)
In (0.0000, 0.0000, 0.0000)

Results
As for the density of states at the Fermi level: 3.97 states/eV/f.u. The formation energy is 0.1836 eV/atom. For the total magnetic moment, the calculation gives 0.0 μB/cell.


Record 12
VASP calculation (PBE) on crystalline AlIn2 at its relaxed geometry.

a b c (Å): 4.2448 5.9523 6.6857
angles (deg): 69.88 70.36 87.23
Sites, in units of the cell vectors:
In (0.6378, 0.3185, 0.7043)
In (0.0557, 0.7786, 0.9045)
In (0.3622, 0.6815, 0.2957)
Al (0.7266, 0.8456, 0.5611)
In (0.9443, 0.2214, 0.0955)
Al (0.2734, 0.1544, 0.4389)

Results
As for the density of states at the Fermi level: 0.89 states/eV/f.u. The formation energy is 0.1152 eV/atom. For the total magnetic moment, the calculation gives 0.0 μB/cell.


Record 13
VASP calculation (PBE) on crystalline Al5In at its relaxed geometry.

a b c (Å): 8.7671 8.7671 4.4741
angles (deg): 90.00 90.00 160.68
Sites, in units of the cell vectors:
In (0.1052, 0.8948, 0.5000)
Al (0.9847, 0.0153, 0.0000)
Al (0.4377, 0.5623, 0.5000)
Al (0.3342, 0.6658, 0.0000)
Al (0.6880, 0.3120, 0.0000)
Al (0.7836, 0.2164, 0.5000)

Results
As for the density of states at the Fermi level: 1.92 states/eV/f.u. The formation energy is 0.1180 eV/atom. For the total magnetic moment, the calculation gives 0.0 μB/cell.


Record 14
VASP calculation (PBE) on crystalline AlIn2 at its relaxed geometry.

a b c (Å): 3.1070 6.9455 7.1393
angles (deg): 90.00 90.00 90.00
Sites, in units of the cell vectors:
In (0.5000, 0.3296, 0.1364)
In (0.5000, 0.6704, 0.8636)
In (0.0000, 0.8296, 0.3636)
Al (0.0000, 0.0000, 0.0000)
Al (0.5000, 0.5000, 0.5000)
In (0.0000, 0.1704, 0.6364)

Results
As for the density of states at the Fermi level: 1.11 states/eV/f.u. The formation energy is 0.1535 eV/atom. For the total magnetic moment, the calculation gives 0.0 μB/cell.


Record 15
VASP calculation (PBE) on crystalline AlIn2 at its relaxed geometry.

a b c (Å): 3.2810 6.1799 7.9603
angles (deg): 68.66 79.80 77.63
Sites, in units of the cell vectors:
In (0.0766, 0.5665, 0.7721)
In (0.8409, 0.1651, 0.6404)
Al (0.3420, 0.8374, 0.9605)
In (0.9234, 0.4335, 0.2279)
In (0.1591, 0.8349, 0.3596)
Al (0.6580, 0.1626, 0.0395)

Results
As for the density of states at the Fermi level: 1.04 states/eV/f.u. The formation energy is 0.1094 eV/atom. For the total magnetic moment, the calculation gives 0.0 μB/cell.


Record 16
VASP calculation (PBE) on crystalline Al3In at its relaxed geometry.

a b c (Å): 5.4204 5.4204 5.4204
angles (deg): 90.00 90.00 90.00
Sites, in units of the cell vectors:
Al (0.5000, 0.0000, 0.2500)
Al (0.7500, 0.5000, 0.0000)
In (0.5000, 0.5000, 0.5000)
Al (0.2500, 0.5000, 0.0000)
Al (0.5000, 0.0000, 0.7500)
Al (0.0000, 0.2500, 0.5000)
In (0.0000, 0.0000, 0.0000)
Al (0.0000, 0.7500, 0.5000)

Results
As for the density of states at the Fermi level: 2.01 states/eV/f.u. The formation energy is 0.2321 eV/atom. For the total magnetic moment, the calculation gives 0.0 μB/cell.


Record 17
VASP calculation (PBE) on crystalline Al5In at its relaxed geometry.

a b c (Å): 5.4453 5.4453 5.4453
angles (deg): 60.00 60.00 60.00
Sites, in units of the cell vectors:
In (0.0000, 0.0000, 0.0000)
Al (0.6247, 0.6247, 0.6247)
Al (0.6247, 0.6247, 0.1260)
Al (0.2500, 0.2500, 0.2500)
Al (0.1260, 0.6247, 0.6247)
Al (0.6247, 0.1260, 0.6247)

Results
As for the density of states at the Fermi level: 3.95 states/eV/f.u. The formation energy is 0.1709 eV/atom. For the total magnetic moment, the calculation gives 0.0 μB/cell.


Record 18
VASP calculation (PBE) on crystalline AlIn2 at its relaxed geometry.

a b c (Å): 3.3395 6.2775 7.8969
angles (deg): 64.61 75.55 85.46
Sites, in units of the cell vectors:
In (0.3578, 0.8629, 0.2678)
In (0.3325, 0.3308, 0.3307)
In (0.6675, 0.6692, 0.6693)
Al (0.9887, 0.2801, 0.0000)
In (0.6422, 0.1371, 0.7322)
Al (0.0113, 0.7199, 0.0000)

Results
As for the density of states at the Fermi level: 1.00 states/eV/f.u. The formation energy is 0.1239 eV/atom. For the total magnetic moment, the calculation gives 0.0 μB/cell.


Record 19
VASP calculation (PBE) on crystalline AlIn5 at its relaxed geometry.

a b c (Å): 9.5548 9.5548 5.0101
angles (deg): 90.00 90.00 160.16
Sites, in units of the cell vectors:
In (0.1008, 0.8992, 0.5000)
Al (0.0026, 0.9974, 0.0000)
In (0.6666, 0.3334, 0.0000)
In (0.3440, 0.6560, 0.0000)
In (0.4469, 0.5531, 0.5000)
In (0.7724, 0.2276, 0.5000)

Results
As for the density of states at the Fermi level: 1.38 states/eV/f.u. The formation energy is 0.0927 eV/atom. For the total magnetic moment, the calculation gives 0.0 μB/cell.


Record 20
VASP calculation (PBE) on crystalline AlIn2 at its relaxed geometry.

a b c (Å): 7.9334 7.9334 4.5692
angles (deg): 90.00 90.00 149.66
Sites, in units of the cell vectors:
In (0.7239, 0.2761, 0.2500)
Al (0.0609, 0.9391, 0.2500)
In (0.5835, 0.4165, 0.7500)
Al (0.9391, 0.0609, 0.7500)
In (0.2761, 0.7239, 0.7500)
In (0.4165, 0.5835, 0.2500)

Results
As for the density of states at the Fermi level: 0.78 states/eV/f.u. The formation energy is 0.1399 eV/atom. For the total magnetic moment, the calculation gives 0.0 μB/cell.